Record 1
Crystalline BaTl2Br2 at its relaxed geometry. Source: Alexandria via LeMat-Bulk, functional GGA-PBE.

Unit cell a=8.4525 b=8.4525 c=5.5387 alpha=90.00 beta=90.00 gamma=90.00
Space group P4/mbm (No. 127)
Asymmetric unit:
Ba1 0.0000 0.0000 0.0000
Tl1 0.1959 0.3041 0.5000
Br1 0.1554 0.6554 0.0000

Properties
The final energy is -2.922 eV per atom. Its spin magnetization is 0.0 Bohr magnetons per cell. The calculation puts the energy relative to the elements, uncorrected at -0.92 eV per atom.

Record 2
Crystalline PuU2P4 at its relaxed geometry. Source: Alexandria via LeMat-Bulk, functional GGA-PBE.

Unit cell a=4.0564 b=13.2016 c=11.3968 alpha=90.00 beta=90.00 gamma=90.00
Space group Cmcm (No. 63)
Asymmetric unit:
Pu1 0.0000 0.1067 0.2500
U1 0.0000 0.3662 0.0586
P1 0.0000 0.0000 0.0000
P2 0.0000 0.2617 0.6487
P3 0.0000 0.4719 0.2500

Properties
The calculation puts the formation energy from the elements at -0.736 eV per atom. The final energy is -9.100 eV per atom. The excess energy over the best structure of this formula in the dataset comes out at 243 meV/atom. Its spin magnetization is 38.1 Bohr magnetons per cell.

spin magnetization of number 1 (BaTl2Br2)?
0.0 Bohr magnetons per cell